# ZrScRh5

Crystalline ZrScRh5 at its relaxed geometry (PBE-GGA, Alexandria).

Properties
Energy relative to the elements, eV per atom: -0.39
N(E_F), states/eV/f.u.: 6.17
Space group: P4/mmm

a = 3.972 Å, b = 3.972 Å, c = 7.592 Å
α = 90.00°, β = 90.00°, γ = 90.00°
Element x y z (fractional)
Zr 0.000 0.000 0.000
Sc 0.500 0.500 0.500
Rh 0.000 0.500 0.256
Rh 0.000 0.500 0.744
Rh 0.500 0.000 0.256
Rh 0.500 0.000 0.744
Rh 0.500 0.500 0.000